A plane-wave DFT calculation with PBE-GGA was carried out for a relaxed structure of CoHgPb2.

Cell lengths 6.181, 6.181, 8.187 Å; angles 67.82, 67.82, 90.00 degrees
Atoms (fractional coordinates):
Pb: 0.514 0.125 0.250
Pb: 0.236 0.625 0.250
Pb: 0.875 0.764 0.750
Pb: 0.375 0.486 0.750
Co: 0.500 0.500 0.000
Co: 0.250 0.750 0.500
Hg: 0.000 0.000 0.000
Hg: 0.750 0.250 0.500

Computed properties:
energy of formation = 0.551 eV/atom
calculated volume = 264 Å³/cell